CaTl2Ni: optimized geometry, PBEsol.

Calculated values
The density is 9.0 g cm⁻³. Its total magnetization is 0.000 μB/atom. For the final energy, the calculation gives -27.5 eV per cell. The value obtained for the formation energy is -0.046 eV per atom. As for the density of states at the Fermi level: 3.8 states/eV/cell.

Lattice parameters (Å, degrees): 3.777 4.164 11.940 90.00 90.00 90.00
Space group Amm2 (No. 38)
Symmetry-distinct sites (fractional):
Ca 0.000 0.000 0.000 (multiplicity 2)
Tl 0.000 0.000 0.288 (multiplicity 2)
Tl 0.500 0.000 0.661 (multiplicity 2)
Ni 0.500 0.000 0.442 (multiplicity 2)


CaYNi2: optimized geometry, PBEsol.

Calculated values
The density is 5.5 g cm⁻³. Its total magnetization is 0.000 μB/atom. For the final energy, the calculation gives -42.3 eV per cell. The value obtained for the formation energy is 0.030 eV per atom. As for the density of states at the Fermi level: 4.0 states/eV/cell.

Lattice parameters (Å, degrees): 3.905 3.905 9.701 90.00 90.00 90.00
Space group I-4m2 (No. 119)
Symmetry-distinct sites (fractional):
Ca 0.000 0.000 0.000 (multiplicity 2)
Y 0.000 0.500 0.750 (multiplicity 2)
Ni 0.000 0.000 0.500 (multiplicity 2)
Ni 0.000 0.500 0.250 (multiplicity 2)


CaYNi2: optimized geometry, PBEsol.

Calculated values
The density is 4.4 g cm⁻³. Its total magnetization is 0.003 μB/atom. For the final energy, the calculation gives -66.4 eV per cell. The value obtained for the formation energy is -0.220 eV per atom. As for the density of states at the Fermi level: 12.2 states/eV/cell.

Lattice parameters (Å, degrees): 3.9396 3.9396 20.5946 90.00 90.00 120.00
Space group R3m (No. 160, hexagonal axes)
Symmetry-distinct sites (fractional):
Ca 0.0000 0.0000 0.0000 (multiplicity 3)
Y 0.0000 0.0000 0.8267 (multiplicity 3)
Ni 0.0000 0.0000 0.2389 (multiplicity 3)
Ni 0.0000 0.0000 0.5732 (multiplicity 3)


Question: Among the records above, which one has the lowest final energy?
Answer: number 3